Record 1
! Dy5YErSc2 PBE-GGA relaxed; values from VASP
&SYSTEM
  ibrav = 0, nat = 18, ntyp = 4
/
ATOMIC_SPECIES
Dy 162.50 Dy.upf
Y 88.91 Y.upf
Er 167.26 Er.upf
Sc 44.96 Sc.upf
CELL_PARAMETERS angstrom
2.790 -10.661 0.000
2.790 10.661 0.000
0.000 0.000 9.319
ATOMIC_POSITIONS angstrom
Dy 2.790 10.412 4.660
Dy 2.790 4.994 7.643
Dy 2.790 4.137 1.936
Dy 2.790 2.297 4.991
Dy 2.790 0.680 2.206
Dy 2.790 -0.680 6.866
Dy 2.790 -2.297 0.331
Dy 2.790 -4.137 6.596
Dy 2.790 -4.994 2.984
Dy 2.790 -10.412 0.000
Y 2.790 6.712 4.710
Y 2.790 -6.712 0.051
Er 2.790 2.092 8.469
Er 2.790 -2.092 3.809
Sc 2.790 8.235 7.587
Sc 2.790 7.793 1.764
Sc 2.790 -7.793 6.424
Sc 2.790 -8.235 2.927
! crystal system: orthorhombic
! spin magnetization: 0.000 μB per formula unit
! total DFT energy (no corrections): -90.4 eV per cell
! formation energy: 169 meV per atom



Record 2
! ReSbMo2H PBE-GGA relaxed; values from VASP
&SYSTEM
  ibrav = 0, nat = 5, ntyp = 4
/
ATOMIC_SPECIES
Re 186.21 Re.upf
Sb 121.76 Sb.upf
Mo 95.94 Mo.upf
H 1.01 H.upf
CELL_PARAMETERS angstrom
3.866 0.000 0.000
0.000 3.866 0.000
0.000 0.000 4.730
ATOMIC_POSITIONS angstrom
Re 0.000 0.000 0.000
Sb 1.933 1.933 0.000
Mo 0.000 1.933 2.365
Mo 1.933 0.000 2.365
H 1.933 1.933 2.365
! crystal system: tetragonal
! spin magnetization: 0.000 μB per formula unit
! total DFT energy (no corrections): -38.7 eV per cell



Record 3
! LiBe2Ru PBE-GGA relaxed; values from VASP
&SYSTEM
  ibrav = 0, nat = 12, ntyp = 3
/
ATOMIC_SPECIES
Li 6.94 Li.upf
Be 9.01 Be.upf
Ru 101.07 Ru.upf
CELL_PARAMETERS angstrom
2.630 0.000 0.000
-1.315 2.278 0.000
0.000 0.000 24.263
ATOMIC_POSITIONS angstrom
Li 0.000 0.000 0.000
Li 0.000 1.519 16.176
Li 1.315 0.759 8.088
Be 0.000 0.000 5.905
Be 0.000 0.000 18.359
Be 0.000 1.519 10.271
Be 0.000 1.519 22.080
Be 1.315 0.759 2.183
Be 1.315 0.759 13.992
Ru 0.000 0.000 12.132
Ru 0.000 1.519 4.044
Ru 1.315 0.759 20.219
! crystal system: trigonal
! spin magnetization: 0.000 μB per formula unit
! total DFT energy (no corrections): -54.5 eV per cell
! formation energy: 122 meV per atom



Record 4
! Pm5Ho6Tm2 PBE-GGA relaxed; values from VASP
&SYSTEM
  ibrav = 0, nat = 26, ntyp = 3
/
ATOMIC_SPECIES
Pm 145.00 Pm.upf
Ho 164.93 Ho.upf
Tm 168.93 Tm.upf
CELL_PARAMETERS angstrom
11.595 0.000 0.000
0.000 20.455 0.000
0.000 0.000 3.579
ATOMIC_POSITIONS angstrom
Pm 0.000 0.000 0.000
Pm 0.981 5.565 0.000
Pm 2.296 11.267 0.000
Pm 3.502 1.039 0.000
Pm 4.817 15.792 0.000
Pm 5.798 10.227 0.000
Pm 6.778 4.663 0.000
Pm 8.094 19.416 0.000
Pm 9.299 9.188 0.000
Pm 10.615 14.890 0.000
Ho 0.714 8.555 1.789
Ho 0.950 2.685 1.789
Ho 2.012 17.603 0.000
Ho 3.786 7.375 0.000
Ho 4.848 12.912 1.789
Ho 5.084 18.783 1.789
Ho 6.512 1.672 1.789
Ho 6.747 7.543 1.789
Ho 7.809 13.079 0.000
Ho 9.584 2.852 0.000
Ho 10.646 17.770 1.789
Ho 10.881 11.900 1.789
Tm 1.972 14.514 1.789
Tm 3.825 4.287 1.789
Tm 7.770 16.168 1.789
Tm 9.623 5.941 1.789
! crystal system: orthorhombic
! spin magnetization: 0.000 μB per formula unit
! total DFT energy (no corrections): -117.8 eV per cell
! formation energy: 96 meV per atom